Computed, not measured: a relaxed structure of PrGa2WO8 at the PBE with a Hubbard U level of DFT.

CIF file:
```
data_PrGa2WO8
_chemical_formula_sum 'Pr2 Ga4 W2 O16'
_symmetry_space_group_name_H-M 'C 1 2/m 1'
_symmetry_Int_Tables_number 12
_cell_length_a 6.7100
_cell_length_b 6.5394
_cell_length_c 6.9655
_cell_angle_alpha 90.00
_cell_angle_beta 92.57
_cell_angle_gamma 90.00
loop_
_symmetry_equiv_pos_as_xyz
'x,y,z'
'-x,-y,-z'
'-x,y,-z'
'x,-y,z'
'x+1/2,y+1/2,z'
'-x+1/2,-y+1/2,-z'
'-x+1/2,y+1/2,-z'
'x+1/2,-y+1/2,z'
loop_
_atom_site_label
_atom_site_type_symbol
_atom_site_fract_x
_atom_site_fract_y
_atom_site_fract_z
Pr1 Pr 0.0000 0.0000 0.0000
Ga1 Ga 0.0255 0.5000 0.7066
W1 W 0.0000 0.0000 0.5000
O1 O 0.9998 0.1995 0.2950
O2 O 0.1538 0.5000 0.9529
O3 O 0.2028 0.5000 0.4898
```

**Energy**: -6.80 eV per atom
**Magnetic moment**: 0.0844 μB/atom